[1]
# NaCeTlI6

A relaxed NaCeTlI6 crystal (PBE, Alexandria).

Structure (extended XYZ):
```
18
Lattice="8.083 0.000 0.000 -4.042 7.000 0.000 0.000 0.000 14.884" Properties=species:S:1:pos:R:3 pbc="T T T"
Na 0.000 4.667 3.721
Na 4.042 2.333 11.163
Ce 4.042 2.333 3.721
Ce 0.000 4.667 11.163
Tl 0.000 0.000 0.000
Tl 0.000 0.000 7.442
I 2.703 4.417 1.951
I 6.515 2.452 1.951
I -1.135 6.868 9.393
I -2.474 4.549 12.933
I 1.568 2.452 5.491
I 5.381 4.417 5.491
I 1.135 6.868 12.933
I 5.176 0.132 5.491
I -1.339 2.584 9.393
I 2.907 0.132 1.951
I 2.474 4.549 9.393
I 1.339 2.584 12.933
```

Values from the calculation:
Its space-group type is P-31c, No. 163. The crystal system is trigonal. The energy relative to the elements, uncorrected is -9.6 eV per formula unit.

---

[2]
# Ba2BiP

A relaxed Ba2BiP crystal (PBE, Alexandria).

Structure (extended XYZ):
```
8
Lattice="9.204 0.000 0.000 0.000 9.204 0.000 4.602 4.602 3.530" Properties=species:S:1:pos:R:3 pbc="T T T"
P 4.602 4.602 0.000
P 4.602 9.204 1.765
Bi 0.000 0.000 0.000
Bi 9.204 4.602 1.765
Ba 6.481 2.301 0.882
Ba 2.723 6.903 0.882
Ba 6.903 7.325 2.647
Ba 11.505 11.083 2.647
```

Values from the calculation:
Its space-group type is I-42d, No. 122. The crystal system is tetragonal. The calculation puts the distance to the lowest polymorph of the same formula at 0.0 meV/atom.

---

[3]
# PrSi2TcRu

A relaxed PrSi2TcRu crystal (PBE, Alexandria).

Structure (extended XYZ):
```
5
Lattice="-2.435 0.691 -3.439 -2.989 -2.598 1.595 0.596 4.781 3.190" Properties=species:S:1:pos:R:3 pbc="T T T"
Pr 0.000 0.000 0.000
Si -3.291 0.093 -0.301
Si -1.538 2.780 1.648
Tc -2.553 0.615 1.932
Ru -2.276 2.259 -0.585
```

Values from the calculation:
Its space-group type is I-4m2, No. 119. The crystal system is tetragonal. The energy relative to the elements, uncorrected is -3.6 eV per formula unit.

---

[4]
# HgMoAu2

A relaxed HgMoAu2 crystal (PBE, Alexandria).

Structure (extended XYZ):
```
4
Lattice="6.666 0.189 0.681 -2.886 4.400 -0.215 0.893 0.710 2.554" Properties=species:S:1:pos:R:3 pbc="T T T"
Au 0.000 0.000 0.000
Au 3.780 0.450 1.618
Hg -0.997 2.555 1.170
Mo 1.890 2.295 0.233
```

Values from the calculation:
Its space-group type is Cmmm, No. 65. The crystal system is orthorhombic. The value obtained for the uncorrected energy is -16.11 eV per cell.

---

no.,total magnetization (μB/atom)
1,0.000
2,0.000
3,0.000
4,0.218